No. 1
TaTcN2 after structural relaxation, computed with PBE.

* uncorrected formation energy: 0.90 eV per formula unit
* offset from the most stable computed form: 524.3 meV/atom
* total magnetic moment: 1.5 μB per formula unit
* energy: -38.0 eV per formula unit

a b c (Å): 5.4676 5.4676 5.4676
angles (deg): 90.00 90.00 90.00
Space group Fm-3m (No. 225)
Unique sites:
Ta: 0.0000 0.0000 0.0000 [4 per cell]
Tc: 0.0000 0.0000 0.5000 [4 per cell]
N: 0.2500 0.2500 0.2500 [8 per cell]

No. 2
TaTcN after structural relaxation, computed with PBE.

* uncorrected formation energy: -0.78 eV per formula unit
* total magnetic moment: 0.0 μB per formula unit
* energy: -31.3 eV per formula unit

a b c (Å): 4.1320 14.0236 2.8759
angles (deg): 90.00 90.00 90.00
Space group Cmcm (No. 63)
Unique sites:
Ta: 0.0000 0.1005 0.2500 [4 per cell]
Tc: 0.0000 0.2949 0.2500 [4 per cell]
N: 0.0000 0.4028 0.7500 [4 per cell]

No. 3
TaTcN2 after structural relaxation, computed with PBE.

* uncorrected formation energy: 0.83 eV per formula unit
* offset from the most stable computed form: 507.0 meV/atom
* total magnetic moment: 0.3 μB per formula unit
* energy: -38.0 eV per formula unit

a b c (Å): 2.9761 2.9761 19.4500
angles (deg): 90.00 90.00 120.00
Space group R-3m (No. 166, hexagonal axes)
Unique sites:
Ta: 0.0000 0.0000 0.0000 [3 per cell]
Tc: 0.0000 0.0000 0.5000 [3 per cell]
N: 0.0000 0.0000 0.1039 [6 per cell]

No. 4
TaTcN3 after structural relaxation, computed with PBE.

* uncorrected formation energy: 3.96 eV per formula unit
* total magnetic moment: 3.0 μB per formula unit
* energy: -43.2 eV per formula unit

a b c (Å): 4.0279 4.0279 4.0279
angles (deg): 90.00 90.00 90.00
Space group Pm-3m (No. 221)
Unique sites:
Ta: 0.0000 0.0000 0.0000 [1 per cell]
Tc: 0.5000 0.5000 0.5000 [1 per cell]
N: 0.0000 0.0000 0.5000 [3 per cell]

No. 5
TaTcTeN2 after structural relaxation, computed with PBE.

* uncorrected formation energy: 3.68 eV per formula unit
* offset from the most stable computed form: 0.0 meV/atom
* total magnetic moment: 4.0 μB per formula unit
* energy: -38.3 eV per formula unit

a b c (Å): 4.0194 4.0194 5.8583
angles (deg): 90.00 90.00 90.00
Space group P4/mmm (No. 123)
Unique sites:
Ta: 0.0000 0.0000 0.0000 [1 per cell]
Tc: 0.5000 0.5000 0.5000 [1 per cell]
Te: 0.0000 0.0000 0.5000 [1 per cell]
N: 0.0000 0.5000 0.0000 [2 per cell]

No. 6
TaTcTe2N after structural relaxation, computed with PBE.

* uncorrected formation energy: 3.60 eV per formula unit
* offset from the most stable computed form: 25.9 meV/atom
* total magnetic moment: 2.1 μB per formula unit
* energy: -33.2 eV per formula unit

a b c (Å): 5.3725 5.3725 3.6760
angles (deg): 90.00 90.00 90.00
Space group P4/mmm (No. 123)
Unique sites:
Ta: 0.0000 0.0000 0.0000 [1 per cell]
Tc: 0.5000 0.5000 0.5000 [1 per cell]
Te: 0.0000 0.5000 0.5000 [2 per cell]
N: 0.5000 0.5000 0.0000 [1 per cell]

No. 7
TaTcTeN2 after structural relaxation, computed with PBE.

* uncorrected formation energy: 5.58 eV per formula unit
* offset from the most stable computed form: 378.9 meV/atom
* total magnetic moment: 1.7 μB per formula unit
* energy: -36.4 eV per formula unit

a b c (Å): 3.9183 3.9183 5.5968
angles (deg): 90.00 90.00 90.00
Space group P4/mmm (No. 123)
Unique sites:
Ta: 0.0000 0.0000 0.0000 [1 per cell]
Tc: 0.5000 0.5000 0.5000 [1 per cell]
Te: 0.5000 0.5000 0.0000 [1 per cell]
N: 0.0000 0.5000 0.5000 [2 per cell]

No. 8
TaTcTe2N after structural relaxation, computed with PBE.

* uncorrected formation energy: 3.47 eV per formula unit
* offset from the most stable computed form: 0.0 meV/atom
* total magnetic moment: 3.9 μB per formula unit
* energy: -33.4 eV per formula unit

a b c (Å): 5.5426 5.5426 3.8698
angles (deg): 90.00 90.00 90.00
Space group P4/mmm (No. 123)
Unique sites:
Ta: 0.0000 0.0000 0.0000 [1 per cell]
Tc: 0.5000 0.5000 0.5000 [1 per cell]
Te: 0.0000 0.5000 0.0000 [2 per cell]
N: 0.0000 0.0000 0.5000 [1 per cell]

No. 9
TaV2TcN after structural relaxation, computed with PBE.

* uncorrected formation energy: -2.39 eV per formula unit
* total magnetic moment: 0.0 μB per formula unit
* energy: -51.2 eV per formula unit

a b c (Å): 3.9173 3.9173 4.2923
angles (deg): 90.00 90.00 90.00
Space group P4/mmm (No. 123)
Unique sites:
Ta: 0.0000 0.0000 0.0000 [1 per cell]
V: 0.0000 0.5000 0.5000 [2 per cell]
Tc: 0.5000 0.5000 0.0000 [1 per cell]
N: 0.0000 0.0000 0.5000 [1 per cell]

No. 10
Ta2VTcN after structural relaxation, computed with PBE.

* uncorrected formation energy: -2.52 eV per formula unit
* total magnetic moment: 0.0 μB per formula unit
* energy: -54.0 eV per formula unit

a b c (Å): 4.3480 4.3480 3.7372
angles (deg): 90.00 90.00 90.00
Space group P4/mmm (No. 123)
Unique sites:
Ta: 0.0000 0.5000 0.0000 [2 per cell]
V: 0.0000 0.0000 0.5000 [1 per cell]
Tc: 0.5000 0.5000 0.5000 [1 per cell]
N: 0.0000 0.0000 0.0000 [1 per cell]

No. 11
TaTc2WN after structural relaxation, computed with PBE.

* uncorrected formation energy: 14.00 eV per formula unit
* total magnetic moment: 0.4 μB per formula unit
* energy: -39.9 eV per formula unit

a b c (Å): 4.6691 4.6691 4.9450
angles (deg): 90.00 90.00 90.00
Space group P4/mmm (No. 123)
Unique sites:
Ta: 0.0000 0.0000 0.0000 [1 per cell]
Tc: 0.0000 0.5000 0.5000 [2 per cell]
W: 0.0000 0.0000 0.5000 [1 per cell]
N: 0.5000 0.5000 0.0000 [1 per cell]

No. 12
Y2TaTcN after structural relaxation, computed with PBE.

* uncorrected formation energy: 6.79 eV per formula unit
* total magnetic moment: 0.7 μB per formula unit
* energy: -36.7 eV per formula unit

a b c (Å): 5.3596 5.3596 4.6185
angles (deg): 90.00 90.00 90.00
Space group P4/mmm (No. 123)
Unique sites:
Y: 0.0000 0.5000 0.0000 [2 per cell]
Ta: 0.0000 0.0000 0.5000 [1 per cell]
Tc: 0.0000 0.0000 0.0000 [1 per cell]
N: 0.5000 0.5000 0.5000 [1 per cell]